VASP calculation (PBE) on an optimized crystal structure of NaPb3.

Summary:
- energy of formation from the pure elements (eV per atom) = -0.076
- crystal system = orthorhombic

a b c (Å): 3.5725 11.1223 6.1162
angles (deg): 90.00 90.00 90.00
Space group Imm2 (No. 44)
Symmetry-distinct sites (fractional):
Na  0.0000  0.0000  0.0000 (multiplicity 2)
Pb  0.0000  0.2471  0.6680 (multiplicity 4)
Pb  0.0000  0.5000  0.9961 (multiplicity 2)